Entry 1:
MnSbSe2: optimized geometry, PBE.

Cell lengths 3.4009, 5.2845, 5.2815 Å; angles 62.86, 90.00, 90.00 degrees
Element x y z (fractional)
Mn 0.5000 0.2500 0.2500
Sb 0.5000 0.7500 0.7500
Se 0.0000 0.0561 0.0561
Se 0.0000 0.4439 0.4439

Summary:
Energy relative to the elements, uncorrected: -0.0789 eV per atom
Magnetization: 2.5 μB/cell
V: 84.47 Å³/cell

***

Entry 2:
MnSb4Se: optimized geometry, PBE.

Cell lengths 6.1529, 6.1529, 6.1529 Å; angles 60.00, 60.00, 60.00 degrees
Element x y z (fractional)
Mn 0.0000 0.0000 0.0000
Sb 0.8720 0.3760 0.3760
Sb 0.3760 0.3760 0.8720
Sb 0.3760 0.8720 0.3760
Sb 0.3760 0.3760 0.3760
Se 0.7500 0.7500 0.7500

Summary:
Energy relative to the elements, uncorrected: 0.5774 eV per atom
Magnetization: 4.7 μB/cell
V: 164.72 Å³/cell

***

Entry 3:
MnSbSe2: optimized geometry, PBE.

Cell lengths 3.3542, 9.4662, 5.9256 Å; angles 107.38, 90.01, 79.80 degrees
Element x y z (fractional)
Sb 0.5342 0.0613 0.7476
Sb 0.4804 0.1690 0.2609
Mn 0.7547 0.6193 0.1949
Mn 0.2591 0.6110 0.8140
Se 0.1640 0.8011 0.1758
Se 0.6895 0.7503 0.6508
Se 0.8499 0.4292 0.8331
Se 0.3245 0.4799 0.3581

Summary:
Energy relative to the elements, uncorrected: -0.2384 eV per atom
Magnetization: 2.9 μB/cell
V: 176.44 Å³/cell

***

Entry 4:
MnSbSe3: optimized geometry, PBE.

Cell lengths 4.7332, 4.7332, 4.7332 Å; angles 90.00, 90.00, 90.00 degrees
Element x y z (fractional)
Sb 0.5000 0.5000 0.5000
Mn 0.0000 0.0000 0.0000
Se 0.0000 0.5000 0.0000
Se 0.0000 0.0000 0.5000
Se 0.5000 0.0000 0.0000

Summary:
Energy relative to the elements, uncorrected: 0.2828 eV per atom
Magnetization: 0.0 μB/cell
V: 106.04 Å³/cell

***

Entry 5:
Mn2SbSe: optimized geometry, PBE.

Cell lengths 5.0820, 5.0820, 5.0820 Å; angles 136.73, 112.35, 83.78 degrees
Element x y z (fractional)
Mn 0.0211 0.0211 0.0000
Mn 0.4789 0.4789 0.0000
Sb 0.7500 0.2500 0.5000
Se 0.2500 0.7500 0.5000

Summary:
Energy relative to the elements, uncorrected: 0.1999 eV per atom
Magnetization: 7.8 μB/cell
V: 80.22 Å³/cell

***

Entry 6:
Mn2SbSe: optimized geometry, PBE.

Cell lengths 9.5904, 9.5904, 9.5904 Å; angles 18.85, 18.85, 18.85 degrees
Element x y z (fractional)
Mn 0.9989 0.9989 0.9989
Mn 0.2627 0.2627 0.2627
Sb 0.5188 0.5188 0.5188
Se 0.7196 0.7196 0.7196

Summary:
Energy relative to the elements, uncorrected: 0.1439 eV per atom
Magnetization: 5.0 μB/cell
V: 80.46 Å³/cell

***

Entry 7:
MnSbSe2: optimized geometry, PBE.

Cell lengths 16.1572, 4.8487, 7.4718 Å; angles 90.00, 147.18, 90.00 degrees
Element x y z (fractional)
Sb 0.2352 0.1305 0.0653
Sb 0.7648 0.8695 0.9347
Sb 0.2648 0.6305 0.4347
Sb 0.7352 0.3695 0.5653
Mn 0.5091 0.1798 0.3746
Mn 0.4909 0.8202 0.6254
Mn 0.9909 0.6798 0.1254
Mn 0.0091 0.3202 0.8746
Se 0.9367 0.8061 0.7313
Se 0.0633 0.1939 0.2687
Se 0.5633 0.3061 0.7687
Se 0.4367 0.6939 0.2313
Se 0.1215 0.6853 0.6510
Se 0.8785 0.3147 0.3490
Se 0.3785 0.1853 0.8490
Se 0.6215 0.8147 0.1510

Summary:
Energy relative to the elements, uncorrected: 0.0601 eV per atom
Magnetization: 0.0 μB/cell
V: 317.28 Å³/cell

***

Entry 8:
MnSbSe2: optimized geometry, PBE.

Cell lengths 5.5536, 5.5536, 7.4229 Å; angles 68.03, 68.03, 90.00 degrees
Element x y z (fractional)
Sb 0.0000 0.0000 0.0000
Sb 0.7500 0.2500 0.5000
Mn 0.5000 0.5000 0.0000
Mn 0.2500 0.7500 0.5000
Se 0.7083 0.7083 0.5835
Se 0.0417 0.5417 0.9165
Se 0.2917 0.2917 0.4165
Se 0.4583 0.9583 0.0835

Summary:
Energy relative to the elements, uncorrected: -0.0955 eV per atom
Magnetization: 8.3 μB/cell
V: 194.28 Å³/cell

***

Entry 9:
MnSbSe2: optimized geometry, PBE.

Cell lengths 6.3602, 6.3602, 6.6882 Å; angles 61.61, 61.61, 90.00 degrees
Element x y z (fractional)
Sb 0.0000 0.0000 0.0000
Sb 0.7500 0.2500 0.5000
Mn 0.5000 0.5000 0.0000
Mn 0.2500 0.7500 0.5000
Se 0.5413 0.1250 0.2500
Se 0.2087 0.6250 0.2500
Se 0.3750 0.4587 0.7500
Se 0.8750 0.7913 0.7500

Summary:
Energy relative to the elements, uncorrected: 0.1883 eV per atom
Magnetization: 0.0 μB/cell
V: 200.25 Å³/cell

***

Entry 10:
MnSbSe2: optimized geometry, PBE.

Cell lengths 4.2123, 5.9648, 3.6857 Å; angles 90.00, 90.00, 90.00 degrees
Element x y z (fractional)
Mn 0.5000 0.0000 0.5000
Sb 0.0000 0.5000 0.5000
Se 0.0000 0.0000 0.0000
Se 0.5000 0.5000 0.0000

Summary:
Energy relative to the elements, uncorrected: 0.1356 eV per atom
Magnetization: 4.5 μB/cell
V: 92.60 Å³/cell

***

Entry 11:
MnSbSe2: optimized geometry, PBE.

Cell lengths 5.4834, 5.4834, 6.6254 Å; angles 66.75, 66.75, 37.08 degrees
Element x y z (fractional)
Mn 0.4278 0.4278 0.3743
Sb 0.1598 0.1598 0.3764
Se 0.0330 0.0330 0.0906
Se 0.8795 0.8795 0.6586

Summary:
Energy relative to the elements, uncorrected: -0.1456 eV per atom
Magnetization: 3.1 μB/cell
V: 109.19 Å³/cell

***

Entry 12:
Mn2SbSe: optimized geometry, PBE.

Cell lengths 3.0577, 3.0577, 6.2514 Å; angles 90.00, 90.00, 90.00 degrees
Element x y z (fractional)
Mn 0.0000 0.0000 0.9771
Mn 0.0000 0.0000 0.5229
Sb 0.5000 0.5000 0.2500
Se 0.5000 0.5000 0.7500

Summary:
Energy relative to the elements, uncorrected: 0.3679 eV per atom
Magnetization: 0.0 μB/cell
V: 58.45 Å³/cell

***

Entry 13:
Mn4SbSe: optimized geometry, PBE.

Cell lengths 5.0740, 5.0740, 5.0740 Å; angles 60.00, 60.00, 60.00 degrees
Element x y z (fractional)
Mn 0.8740 0.3753 0.3753
Mn 0.3753 0.3753 0.8740
Mn 0.3753 0.8740 0.3753
Mn 0.3753 0.3753 0.3753
Sb 0.7500 0.7500 0.7500
Se 0.0000 0.0000 0.0000

Summary:
Energy relative to the elements, uncorrected: 0.4230 eV per atom
Magnetization: 10.1 μB/cell
V: 92.37 Å³/cell

***

Entry 14:
MnSbSe2: optimized geometry, PBE.

Cell lengths 4.9486, 4.9486, 4.9502 Å; angles 69.82, 69.82, 108.07 degrees
Element x y z (fractional)
Mn 0.5000 0.0000 0.5000
Sb 0.0000 0.5000 0.5000
Se 0.0000 0.0000 0.0000
Se 0.5000 0.5000 0.0000

Summary:
Energy relative to the elements, uncorrected: -0.0051 eV per atom
Magnetization: 4.5 μB/cell
V: 93.26 Å³/cell

***

Entry 15:
MnSbSe2: optimized geometry, PBE.

Cell lengths 3.8605, 5.4999, 5.4998 Å; angles 52.04, 90.00, 90.00 degrees
Element x y z (fractional)
Mn 0.0000 0.4920 0.4920
Sb 0.5000 0.6840 0.6841
Se 0.0000 0.9990 0.9990
Se 0.5000 0.3250 0.3250

Summary:
Energy relative to the elements, uncorrected: -0.1359 eV per atom
Magnetization: 3.1 μB/cell
V: 92.07 Å³/cell

***

Entry 16:
MnSbSe2: optimized geometry, PBE.

Cell lengths 6.4436, 6.5194, 5.3298 Å; angles 71.83, 67.25, 99.70 degrees
Element x y z (fractional)
Sb 0.1040 0.2811 0.8840
Sb 0.5612 0.5032 0.0612
Mn 0.3739 0.0815 0.0950
Mn 0.3873 0.0921 0.5821
Se 0.7031 0.3407 0.6016
Se 0.0337 0.9821 0.5470
Se 0.2471 0.7451 0.0247
Se 0.6461 0.9515 0.2621

Summary:
Energy relative to the elements, uncorrected: -0.1906 eV per atom
Magnetization: 3.8 μB/cell
V: 185.20 Å³/cell

***

Entry 17:
MnSbSe2: optimized geometry, PBE.

Cell lengths 12.0013, 12.0013, 4.5105 Å; angles 90.00, 90.00, 160.94 degrees
Element x y z (fractional)
Sb 0.3124 0.6876 0.2500
Sb 0.6876 0.3124 0.7500
Mn 0.0336 0.9664 0.2500
Mn 0.9664 0.0336 0.7500
Se 0.1972 0.8028 0.2500
Se 0.8028 0.1972 0.7500
Se 0.9274 0.0726 0.2500
Se 0.0726 0.9274 0.7500

Summary:
Energy relative to the elements, uncorrected: -0.0282 eV per atom
Magnetization: 8.4 μB/cell
V: 212.14 Å³/cell

***

Entry 18:
MnSbSe2: optimized geometry, PBE.

Cell lengths 16.8183, 7.2937, 7.2937 Å; angles 102.41, 106.58, 73.42 degrees
Element x y z (fractional)
Sb 0.4188 0.6088 0.2019
Sb 0.0812 0.7019 0.1088
Sb 0.5812 0.3912 0.7981
Sb 0.9188 0.2981 0.8912
Sb 0.3997 0.9359 0.0096
Sb 0.1003 0.5096 0.4359
Sb 0.6003 0.0641 0.9904
Sb 0.8997 0.4904 0.5641
Mn 0.1814 0.1335 0.2867
Mn 0.3186 0.7867 0.6335
Mn 0.8186 0.8665 0.7133
Mn 0.6814 0.2133 0.3665
Mn 0.3904 0.1659 0.5267
Mn 0.1096 0.0267 0.6659
Mn 0.6096 0.8341 0.4733
Mn 0.8904 0.9733 0.3341
Se 0.9601 0.9363 0.6853
Se 0.5399 0.1853 0.4363
Se 0.0399 0.0637 0.3147
Se 0.4601 0.8147 0.5637
Se 0.8006 0.3046 0.2800
Se 0.6994 0.7800 0.8046
Se 0.1994 0.6954 0.7200
Se 0.3006 0.2200 0.1954
Se 0.5958 0.5336 0.2380
Se 0.9042 0.7380 0.0336
Se 0.4042 0.4664 0.7620
Se 0.0958 0.2620 0.9664
Se 0.7500 0.2291 0.7291
Se 0.2500 0.7709 0.2709
Se 0.7500 0.8561 0.3561
Se 0.2500 0.1439 0.6439

Summary:
Energy relative to the elements, uncorrected: -0.2266 eV per atom
Magnetization: 32.0 μB/cell
V: 813.12 Å³/cell

***

Entry 19:
MnSbSe2: optimized geometry, PBE.

Cell lengths 13.8296, 13.8296, 4.0580 Å; angles 90.00, 90.00, 166.16 degrees
Element x y z (fractional)
Sb 0.0381 0.9619 0.2500
Sb 0.9619 0.0381 0.7500
Mn 0.3104 0.6896 0.2500
Mn 0.6896 0.3104 0.7500
Se 0.2157 0.7843 0.2500
Se 0.7843 0.2157 0.7500
Se 0.8787 0.1213 0.2500
Se 0.1213 0.8787 0.7500

Summary:
Energy relative to the elements, uncorrected: -0.1312 eV per atom
Magnetization: 6.9 μB/cell
V: 185.61 Å³/cell

***

Entry 20:
MnSbSe3: optimized geometry, PBE.

Cell lengths 3.7197, 7.1737, 7.1737 Å; angles 105.41, 90.00, 90.00 degrees
Element x y z (fractional)
Mn 0.0000 0.4681 0.5319
Sb 0.5000 0.0395 0.9605
Se 0.5000 0.6451 0.7240
Se 0.0000 0.1993 0.8007
Se 0.5000 0.2760 0.3549

Summary:
Energy relative to the elements, uncorrected: -0.1737 eV per atom
Magnetization: 4.0 μB/cell
V: 184.54 Å³/cell